# 1
# SrNb2Br PBE optimized geometry
# size of the total moment = 0.00 μB per cell
# volume = 348.6 Å³/cell
# E_tot = -4.51 eV per atom
data_SrNb2Br
_symmetry_space_group_name_H-M 'F m -3 m'
_symmetry_Int_Tables_number 225
_symmetry_space_group_name_Hall '-F 4 2 3'
_cell_length_a 7.038
_cell_length_b 7.038
_cell_length_c 7.038
_cell_angle_alpha 90.00
_cell_angle_beta 90.00
_cell_angle_gamma 90.00
loop_
_atom_site_label
_atom_site_type_symbol
_atom_site_fract_x
_atom_site_fract_y
_atom_site_fract_z
Sr1 Sr 0.000 0.000 0.000
Nb1 Nb 0.250 0.250 0.250
Br1 Br 0.000 0.000 0.500



# 2
# Mg2Sb2I PBE optimized geometry
# size of the total moment = 0.00 μB per cell
# volume = 270.5 Å³/cell
# E_tot = -2.72 eV per atom
data_Mg2Sb2I
_symmetry_space_group_name_H-M 'P 4/m b m'
_symmetry_Int_Tables_number 127
_symmetry_space_group_name_Hall '-P 4 2ab'
_cell_length_a 9.015
_cell_length_b 9.015
_cell_length_c 3.328
_cell_angle_alpha 90.00
_cell_angle_beta 90.00
_cell_angle_gamma 90.00
loop_
_atom_site_label
_atom_site_type_symbol
_atom_site_fract_x
_atom_site_fract_y
_atom_site_fract_z
Mg1 Mg 0.161 0.339 0.000
Sb1 Sb 0.133 0.633 0.500
I1 I 0.000 0.000 0.000



# 3
# Pm4Hg3 PBE optimized geometry
# size of the total moment = 4.56 μB per cell
# volume = 1191.1 Å³/cell
# energy of formation from the pure elements = -0.37 eV/atom
# E_tot = -3.21 eV per atom
data_Pm4Hg3
_symmetry_space_group_name_H-M 'R -3'
_symmetry_Int_Tables_number 148
_symmetry_space_group_name_Hall '-R 3'
_cell_length_a 14.4540
_cell_length_b 14.4540
_cell_length_c 6.5830
_cell_angle_alpha 90.00
_cell_angle_beta 90.00
_cell_angle_gamma 120.00
loop_
_atom_site_label
_atom_site_type_symbol
_atom_site_fract_x
_atom_site_fract_y
_atom_site_fract_z
Pm1 Pm 0.0000 0.0000 0.0000
Pm2 Pm 0.0000 0.0000 0.5000
Pm3 Pm 0.0509 0.2493 0.1724
Hg1 Hg 0.0482 0.2277 0.6839



# 4
# Cs2Cd6PtAu PBE optimized geometry
# size of the total moment = 0.00 μB per cell
# volume = 644.4 Å³/cell
# energy of formation from the pure elements = -0.19 eV/atom
# E_tot = -1.84 eV per atom
data_Cs2Cd6PtAu
_symmetry_space_group_name_H-M 'P m m n'
_symmetry_Int_Tables_number 59
_cell_length_a 7.708
_cell_length_b 10.850
_cell_length_c 7.706
_cell_angle_alpha 90.00
_cell_angle_beta 90.00
_cell_angle_gamma 90.00
loop_
_symmetry_equiv_pos_as_xyz
'x,y,z'
'-x,-y,-z'
'-x+1/2,-y+1/2,z'
'x+1/2,y+1/2,-z'
'x+1/2,-y,-z'
'-x+1/2,y,z'
'-x,y+1/2,-z'
'x,-y+1/2,z'
loop_
_atom_site_label
_atom_site_type_symbol
_atom_site_fract_x
_atom_site_fract_y
_atom_site_fract_z
Cs1 Cs 0.250 0.000 0.249
Cd1 Cd 0.001 0.250 0.498
Cd2 Cd 0.006 0.250 0.992
Cd3 Cd 0.250 0.003 0.748
Pt1 Pt 0.250 0.250 0.743
Au1 Au 0.250 0.750 0.758



# 5
# Na12In3Sn PBE optimized geometry
# size of the total moment = 0.00 μB per cell
# volume = 480.8 Å³/cell
# energy of formation from the pure elements = -0.05 eV/atom
# E_tot = -1.80 eV per atom
data_Na12In3Sn
_symmetry_space_group_name_H-M 'P 4/m m m'
_symmetry_Int_Tables_number 123
_symmetry_space_group_name_Hall '-P 4 2'
_cell_length_a 4.928
_cell_length_b 4.928
_cell_length_c 19.798
_cell_angle_alpha 90.00
_cell_angle_beta 90.00
_cell_angle_gamma 90.00
loop_
_atom_site_label
_atom_site_type_symbol
_atom_site_fract_x
_atom_site_fract_y
_atom_site_fract_z
Na1 Na 0.000 0.000 0.000
Na2 Na 0.000 0.000 0.249
Na3 Na 0.000 0.000 0.500
Na4 Na 0.000 0.500 0.121
Na5 Na 0.000 0.500 0.376
In1 In 0.500 0.500 0.249
In2 In 0.500 0.500 0.500
Sn1 Sn 0.500 0.500 0.000



# 6
# CsBa2CdNi PBE optimized geometry
# size of the total moment = 0.00 μB per cell
# volume = 205.4 Å³/cell
# energy of formation from the pure elements = 0.08 eV/atom
# E_tot = -2.20 eV per atom
data_CsBa2CdNi
_symmetry_space_group_name_H-M 'P 4/m m m'
_symmetry_Int_Tables_number 123
_symmetry_space_group_name_Hall '-P 4 2'
_cell_length_a 6.158
_cell_length_b 6.158
_cell_length_c 5.416
_cell_angle_alpha 90.00
_cell_angle_beta 90.00
_cell_angle_gamma 90.00
loop_
_atom_site_label
_atom_site_type_symbol
_atom_site_fract_x
_atom_site_fract_y
_atom_site_fract_z
Cs1 Cs 0.000 0.000 0.000
Ba1 Ba 0.000 0.500 0.500
Cd1 Cd 0.500 0.500 0.000
Ni1 Ni 0.500 0.500 0.500



# 7
# InPt4Rh PBE optimized geometry
# size of the total moment = 0.02 μB per cell
# volume = 414.3 Å³/cell
# energy of formation from the pure elements = 0.05 eV/atom
# E_tot = -5.66 eV per atom
data_InPt4Rh
_symmetry_space_group_name_H-M 'F -4 3 m'
_symmetry_Int_Tables_number 216
_symmetry_space_group_name_Hall 'F -4 2 3'
_cell_length_a 7.455
_cell_length_b 7.455
_cell_length_c 7.455
_cell_angle_alpha 90.00
_cell_angle_beta 90.00
_cell_angle_gamma 90.00
loop_
_atom_site_label
_atom_site_type_symbol
_atom_site_fract_x
_atom_site_fract_y
_atom_site_fract_z
In1 In 0.000 0.000 0.000
Pt1 Pt 0.125 0.125 0.625
Rh1 Rh 0.250 0.250 0.250



# 8
# TaCr2CoS PBE optimized geometry
# size of the total moment = 5.82 μB per cell
# volume = 78.9 Å³/cell
# E_tot = -7.92 eV per atom
data_TaCr2CoS
_symmetry_space_group_name_H-M 'P 4/m m m'
_symmetry_Int_Tables_number 123
_symmetry_space_group_name_Hall '-P 4 2'
_cell_length_a 4.161
_cell_length_b 4.161
_cell_length_c 4.558
_cell_angle_alpha 90.00
_cell_angle_beta 90.00
_cell_angle_gamma 90.00
loop_
_atom_site_label
_atom_site_type_symbol
_atom_site_fract_x
_atom_site_fract_y
_atom_site_fract_z
Ta1 Ta 0.000 0.000 0.000
Cr1 Cr 0.000 0.500 0.500
Co1 Co 0.500 0.500 0.000
S1 S 0.000 0.000 0.500



# 9
# Sc2CrIn PBE optimized geometry
# size of the total moment = 3.39 μB per cell
# volume = 83.8 Å³/cell
# energy of formation from the pure elements = -0.06 eV/atom
# E_tot = -6.31 eV per atom
data_Sc2CrIn
_symmetry_space_group_name_H-M 'P 4/m m m'
_symmetry_Int_Tables_number 123
_symmetry_space_group_name_Hall '-P 4 2'
_cell_length_a 4.806
_cell_length_b 4.806
_cell_length_c 3.629
_cell_angle_alpha 90.00
_cell_angle_beta 90.00
_cell_angle_gamma 90.00
loop_
_atom_site_label
_atom_site_type_symbol
_atom_site_fract_x
_atom_site_fract_y
_atom_site_fract_z
Sc1 Sc 0.000 0.500 0.000
Cr1 Cr 0.000 0.000 0.500
In1 In 0.500 0.500 0.500



# 10
# SiNi2Se PBE optimized geometry
# size of the total moment = 0.00 μB per cell
# volume = 56.4 Å³/cell
# E_tot = -5.42 eV per atom
data_SiNi2Se
_symmetry_space_group_name_H-M 'P -6 m 2'
_symmetry_Int_Tables_number 187
_symmetry_space_group_name_Hall 'P -6 2'
_cell_length_a 3.5583
_cell_length_b 3.5583
_cell_length_c 5.1431
_cell_angle_alpha 90.00
_cell_angle_beta 90.00
_cell_angle_gamma 120.00
loop_
_atom_site_label
_atom_site_type_symbol
_atom_site_fract_x
_atom_site_fract_y
_atom_site_fract_z
Si1 Si 0.0000 0.0000 0.0000
Ni1 Ni 0.6667 0.3333 0.2350
Se1 Se 0.3333 0.6667 0.5000



# 11
# Pm2Nd3DyEr6 PBE optimized geometry
# size of the total moment = 0.00 μB per cell
# volume = 772.8 Å³/cell
# energy of formation from the pure elements = 0.02 eV/atom
# E_tot = -4.63 eV per atom
data_Pm2Nd3DyEr6
_symmetry_space_group_name_H-M 'C 1 2/m 1'
_symmetry_Int_Tables_number 12
_symmetry_space_group_name_Hall '-C 2y'
_cell_length_a 6.209
_cell_length_b 10.752
_cell_length_c 11.758
_cell_angle_alpha 90.00
_cell_angle_beta 100.10
_cell_angle_gamma 90.00
loop_
_atom_site_label
_atom_site_type_symbol
_atom_site_fract_x
_atom_site_fract_y
_atom_site_fract_z
Pm1 Pm 0.000 0.167 0.000
Nd1 Nd 0.000 0.000 0.500
Nd2 Nd 0.000 0.333 0.500
Dy1 Dy 0.000 0.500 0.000
Er1 Er 0.249 0.333 0.248
Er2 Er 0.250 0.000 0.248



# 12
# LaCrW PBE optimized geometry
# size of the total moment = 1.49 μB per cell
# volume = 121.4 Å³/cell
# energy of formation from the pure elements = 0.52 eV/atom
# E_tot = -8.65 eV per atom
data_LaCrW
_symmetry_space_group_name_H-M 'I 4 m m'
_symmetry_Int_Tables_number 107
_symmetry_space_group_name_Hall 'I 4 -2'
_cell_length_a 3.191
_cell_length_b 3.191
_cell_length_c 11.920
_cell_angle_alpha 90.00
_cell_angle_beta 90.00
_cell_angle_gamma 90.00
loop_
_atom_site_label
_atom_site_type_symbol
_atom_site_fract_x
_atom_site_fract_y
_atom_site_fract_z
La1 La 0.000 0.000 0.000
Cr1 Cr 0.000 0.000 0.702
W1 W 0.000 0.000 0.293



> Look up the E_tot of the third one.

-3.21 eV per atom